[1]
Density functional theory data (PBE) for a relaxed Cs3BaNa crystal.

## Properties
The calculation puts the calculated total energy at -0.931 eV/atom. As for the symmetry: Pm-3m. The formation energy from the elements comes out at 0.230 eV/atom.

abc: 7.829 7.829 7.829
angles: 90.00 90.00 90.00
Sites, in units of the cell vectors:
Cs 0.000 0.000 0.500
Cs 0.000 0.500 0.000
Cs 0.500 0.000 0.000
Ba 0.500 0.500 0.500
Na 0.000 0.000 0.000

***

[2]
Density functional theory data (PBE) for a relaxed CsBa2Na crystal.

## Properties
The calculation puts the calculated total energy at -1.380 eV/atom. As for the symmetry: R3m. The formation energy from the elements comes out at 0.124 eV/atom.

abc: 14.959 14.959 14.959
angles: 17.66 17.66 17.66
Sites, in units of the cell vectors:
Cs 0.000 0.000 0.000
Ba 0.237 0.237 0.237
Ba 0.429 0.429 0.429
Na 0.833 0.833 0.833

***

[3]
Density functional theory data (PBE) for a relaxed CsBaNa2 crystal.

## Properties
The calculation puts the calculated total energy at -1.275 eV/atom. As for the symmetry: Fm-3m. The value obtained for the energy relative to the lowest polymorph listed for this composition is 50.4 meV per atom. The formation energy from the elements comes out at 0.079 eV/atom.

abc: 6.942 6.942 6.942
angles: 60.00 60.00 60.00
Sites, in units of the cell vectors:
Cs 0.000 0.000 0.000
Ba 0.500 0.500 0.500
Na 0.250 0.250 0.250
Na 0.750 0.750 0.750